BaTbHo after structural relaxation, computed with PBE-GGA.

abc: 3.771 3.771 8.605
angles: 102.66 102.66 90.00
Positions (direct):
Ba 0.000 0.000 0.000
Ho 0.682 0.682 0.364
Tb 0.318 0.318 0.636

Crystal system: tetragonal
Fermi-level density of states (states/eV/f.u.): 5.48
DFT formation energy (eV per atom): 0.192
Symmetry: I4mm, No. 107

***

BaTbHo2 after structural relaxation, computed with PBE-GGA.

abc: 3.595 3.595 12.990
angles: 82.05 82.05 60.00
Positions (direct):
Tb 0.500 0.500 0.500
Ba 0.000 0.000 0.000
Ho 0.906 0.906 0.281
Ho 0.094 0.094 0.719

Crystal system: trigonal
Fermi-level density of states (states/eV/f.u.): 5.61
DFT formation energy (eV per atom): 0.231
Symmetry: R-3m, No. 166

***

Ba3TbHo3Te8 after structural relaxation, computed with PBE-GGA.

abc: 8.975 8.971 9.511
angles: 118.11 90.01 119.99
Positions (direct):
Te 0.758 0.516 0.284
Te 0.758 0.026 0.284
Te 0.262 0.524 0.286
Ho 0.500 0.000 0.500
Te 0.242 0.974 0.716
Ho 0.500 0.500 0.500
Tb 0.000 0.000 0.500
Ba 0.000 0.500 0.000
Ba 0.000 0.000 0.000
Te 0.732 0.974 0.716
Ba 0.500 0.500 0.000
Ho 0.000 0.500 0.500
Te 0.738 0.476 0.714
Te 0.268 0.026 0.284
Te 0.242 0.484 0.716

ΔE_f (raw) (meV per atom): -1525.0
Crystal system: trigonal
Fermi-level density of states (states/eV/f.u.): 4.09
Symmetry: R-3m, No. 166

***

BaHo2Tc after structural relaxation, computed with PBE-GGA.

abc: 3.583 3.583 11.385
angles: 80.95 80.95 60.00
Positions (direct):
Tc 0.500 0.500 0.500
Ho 0.110 0.110 0.671
Ba 0.000 0.000 0.000
Ho 0.890 0.890 0.329

Crystal system: trigonal
Fermi-level density of states (states/eV/f.u.): 3.74
DFT formation energy (eV per atom): 0.302
Symmetry: R-3m, No. 166